ScTcCl4 | Alexandria | GGA-PBE | optimized geometry; spin magnetization = 4.481 μB per formula unit; uncorrected formation energy = 64.0 kJ/mol of atoms
1.0
0.000 4.073 4.073
4.073 0.000 4.073
4.073 4.073 0.000
Cl Tc Sc
4 1 1
Cartesian
5.093 3.053 5.093 Cl
3.053 3.053 3.053 Cl
3.053 5.093 5.093 Cl
5.093 5.093 3.053 Cl
0.000 0.000 0.000 Tc
6.109 6.109 6.109 Sc



Sc4TcCl | Alexandria | GGA-PBE | optimized geometry; spin magnetization = 0.016 μB per formula unit; uncorrected formation energy = 59.9 kJ/mol of atoms
1.0
4.501 -0.199 3.506
1.066 4.361 3.527
-0.785 -0.617 5.621
Sc Tc Cl
4 1 1
Cartesian
2.328 3.460 6.503 Sc
1.810 1.342 4.790 Sc
3.997 1.245 6.493 Sc
1.429 1.042 7.520 Sc
3.586 2.659 9.490 Tc
0.000 0.000 0.000 Cl



Among the records above, which one has the lowest uncorrected formation energy? Sc4TcCl



Look up the spin magnetization of the first one. 4.481 μB per formula unit



Number 1 is which compound? ScTcCl4